# CoPtNO2

A geometry-optimized CoPtNO2 structure (PBE+U, Alexandria).

a = 4.184 Å, b = 4.184 Å, c = 3.646 Å
α = 90.00°, β = 90.00°, γ = 90.00°
Element x y z (fractional)
Co 0.000 0.000 0.000
Pt 0.500 0.500 0.500
N 0.500 0.500 0.000
O 0.000 0.500 0.500
O 0.500 0.000 0.500

## Properties
Final energy ... -5.212 eV per atom
DOS at the Fermi energy ... 2.2 states/eV/f.u.